[1]
SrZn2Sb | GGA-PBE | optimized geometry

The raw total energy comes out at -2.139 eV/atom. For the size of the total moment, the calculation gives 0.000 Bohr magnetons per cell. The calculation puts the calculated volume at 107 Å³/cell. Its uncorrected formation energy is -0.051 eV per atom.

Unit cell a=6.4734 b=6.4734 c=3.4556 alpha=74.81 beta=74.81 gamma=119.90
Positions (direct):
Sr (0.0000, 0.5000, 0.5000)
Sb (0.5000, 0.0000, 0.5000)
Zn (0.0000, 0.0000, 0.0000)
Zn (0.5000, 0.5000, 0.0000)



[2]
RbCuTc2Rh | GGA-PBE | optimized geometry

The raw total energy comes out at -3.533 eV/atom. For the size of the total moment, the calculation gives 5.363 Bohr magnetons per cell. The calculation puts the calculated volume at 109 Å³/cell. The calculation puts the formation energy at 3.0967 eV per atom.

Unit cell a=4.8026 b=4.7472 c=4.8026 alpha=90.00 beta=90.00 gamma=90.00
Site moments in Bohr magnetons follow the coordinates.
Positions (direct):
Rb (0.0000, 0.0000, 0.0000)  0.06
Tc (0.5000, 0.0000, 0.0000)  2.34
Tc (0.0000, 0.0000, 0.5000)  1.96
Rh (0.0000, 0.5000, 0.0000)  0.69
Cu (0.5000, 0.5000, 0.5000)  0.06



> Among the records above, which one has the lowest raw total energy?

RbCuTc2Rh